Compound: SIO3F
Source: the Alexandria database
Functional: meta-GGA SCAN
Structure: single point on PBEsol structure

Calculated values
Raw formation energy = -1.199 eV/atom
SG = P2_12_12_1

abc: 5.6907 11.8836 13.5597
angles: 90.00 90.00 90.00
With the nearest neighbours (Å) after each atom.
Fractional positions:
S  0.0405  0.1769  0.1717  3 O 1.42-1.55, 1 F 1.59
S  0.1670  0.6015  0.9915  3 O 1.44-1.49, 1 F 1.58
S  0.3330  0.3985  0.4915  3 O 1.44-1.49, 1 F 1.58
S  0.4595  0.8231  0.6717  3 O 1.42-1.55, 1 F 1.59
S  0.5405  0.3231  0.8283  3 O 1.42-1.55, 1 F 1.59
S  0.6670  0.8985  0.0085  3 O 1.44-1.49, 1 F 1.58
S  0.8330  0.1015  0.5085  3 O 1.44-1.49, 1 F 1.58
S  0.9595  0.6769  0.3283  3 O 1.42-1.55, 1 F 1.59
I  0.0418  0.0465  0.8422  1 O 2.53, 1 I 2.68
I  0.1976  0.1754  0.6937  2 O 2.10-2.29
I  0.3024  0.8246  0.1937  2 O 2.10-2.29
I  0.4582  0.9535  0.3422  1 O 2.53, 1 I 2.68
I  0.5418  0.4535  0.1578  1 O 2.53, 1 I 2.68
I  0.6976  0.3246  0.3063  2 O 2.10-2.29
I  0.8024  0.6754  0.8063  2 O 2.10-2.29
I  0.9582  0.5465  0.6578  1 O 2.53, 1 I 2.68
O  0.0125  0.2867  0.2325  1 S 1.55
O  0.0480  0.6781  0.0565  1 S 1.44
O  0.0906  0.4273  0.5138  1 S 1.45
O  0.0929  0.5856  0.2894  1 S 1.43
O  0.1454  0.6282  0.8849  1 S 1.49
O  0.2169  0.8338  0.6478  1 S 1.42
O  0.2831  0.1662  0.1478  1 S 1.42
O  0.3546  0.3718  0.3849  1 S 1.49
O  0.4071  0.4144  0.7894  1 S 1.43
O  0.4094  0.5727  0.0138  1 S 1.45
O  0.4520  0.3219  0.5565  1 S 1.44
O  0.4875  0.7133  0.7325  1 S 1.55
O  0.5125  0.2133  0.7675  1 S 1.55
O  0.5480  0.8219  0.9435  1 S 1.44
O  0.5906  0.0727  0.4862  1 S 1.45
O  0.5929  0.9144  0.7106  1 S 1.43
O  0.6454  0.8718  0.1151  1 S 1.49
O  0.7169  0.6662  0.3522  1 S 1.42
O  0.7831  0.3338  0.8522  1 S 1.42
O  0.8546  0.1282  0.6151  1 S 1.49
O  0.9071  0.0856  0.2106  1 S 1.43
O  0.9094  0.9273  0.9862  1 S 1.45
O  0.9520  0.1781  0.4435  1 S 1.44
O  0.9875  0.7867  0.2675  1 S 1.55
F  0.0279  0.4868  0.0014  1 S 1.58
F  0.0888  0.7131  0.4269  1 S 1.59
F  0.4112  0.2869  0.9269  1 S 1.59
F  0.4721  0.5132  0.5014  1 S 1.58
F  0.5279  0.0132  0.9986  1 S 1.58
F  0.5888  0.7869  0.5731  1 S 1.59
F  0.9112  0.2131  0.0731  1 S 1.59
F  0.9721  0.9868  0.4986  1 S 1.58


Compound: SbI2OF
Source: the Alexandria database
Functional: meta-GGA SCAN
Structure: single point on PBEsol structure

Calculated values
Raw formation energy = 0.581 eV/atom
SG = P4/mmm

abc: 5.2381 5.2381 3.8337
angles: 90.00 90.00 90.00
With the nearest neighbours (Å) after each atom.
Fractional positions:
Sb  0.0000  0.0000  0.0000  8 I 3.25
I  0.0000  0.5000  0.5000  2 F 2.62
I  0.5000  0.0000  0.5000  2 F 2.62
O  0.5000  0.5000  0.0000  2 F 1.92
F  0.5000  0.5000  0.5000  2 O 1.92


Compound: ScIO2F
Source: the Alexandria database
Functional: meta-GGA SCAN
Structure: single point on PBEsol structure

Calculated values
Raw formation energy = -0.546 eV/atom
SG = P4/mmm

abc: 4.0411 4.0411 5.4272
angles: 90.00 90.00 90.00
With the nearest neighbours (Å) after each atom.
Fractional positions:
Sc  0.0000  0.0000  0.0000  4 F 2.86
I  0.5000  0.5000  0.5000  4 O 2.02
O  0.0000  0.5000  0.5000  2 I 2.02
O  0.5000  0.0000  0.5000  2 I 2.02
F  0.5000  0.5000  0.0000  2 I 2.71, 4 Sc 2.86


Compound: TiIO2F
Source: the Alexandria database
Functional: meta-GGA SCAN
Structure: single point on PBEsol structure

Calculated values
Raw formation energy = -0.267 eV/atom
SG = P4/mmm

abc: 4.0024 4.0024 5.4893
angles: 90.00 90.00 90.00
With the nearest neighbours (Å) after each atom.
Fractional positions:
Ti  0.0000  0.0000  0.0000  4 F 2.83
I  0.5000  0.5000  0.5000  4 O 2.00
O  0.0000  0.5000  0.5000  2 I 2.00
O  0.5000  0.0000  0.5000  2 I 2.00
F  0.5000  0.5000  0.0000  2 I 2.74, 4 Ti 2.83